[1]
This record from the Alexandria database describes a relaxed BaHgRu4 crystal. The functional is PBE-GGA.

## Properties
The formation energy is 4.2 eV per formula unit. The density of states at the Fermi level comes out at 32.457 states/eV/cell.

```
data_BaHgRu4
_cell_length_a 7.737
_cell_length_b 7.737
_cell_length_c 7.737
_cell_angle_alpha 90.00
_cell_angle_beta 90.00
_cell_angle_gamma 90.00
_symmetry_space_group_name_H-M 'F -4 3 m'
_symmetry_Int_Tables_number 216
_symmetry_space_group_name_Hall 'F -4 2 3'
loop_
_atom_site_label
_atom_site_fract_x
_atom_site_fract_y
_atom_site_fract_z
Ba1 0.000 0.000 0.000
Hg1 0.250 0.250 0.750
Ru1 0.124 0.124 0.376
```

[2]
This record from the Alexandria database describes a relaxed Ba2HgRu crystal. The functional is PBE-GGA.

## Properties
The formation energy is 0.7 eV per formula unit. The density of states at the Fermi level comes out at 3.579 states/eV/cell.

```
data_Ba2HgRu
_cell_length_a 3.866
_cell_length_b 5.524
_cell_length_c 11.644
_cell_angle_alpha 90.00
_cell_angle_beta 90.00
_cell_angle_gamma 90.00
_symmetry_space_group_name_H-M 'I m m 2'
_symmetry_Int_Tables_number 44
_symmetry_space_group_name_Hall 'I 2 -2'
loop_
_atom_site_label
_atom_site_fract_x
_atom_site_fract_y
_atom_site_fract_z
Ba1 0.000 0.000 0.000
Ba2 0.000 0.500 0.194
Hg1 0.000 0.000 0.400
Ru1 0.000 0.500 0.728
```

[3]
This record from the Alexandria database describes a relaxed Ba2HgRu crystal. The functional is PBE-GGA.

## Properties
The formation energy is 0.7 eV per formula unit. The density of states at the Fermi level comes out at 5.312 states/eV/cell.

```
data_Ba2HgRu
_cell_length_a 11.168
_cell_length_b 11.168
_cell_length_c 5.414
_cell_angle_alpha 90.00
_cell_angle_beta 90.00
_cell_angle_gamma 90.00
_symmetry_space_group_name_H-M 'I -4 2 d'
_symmetry_Int_Tables_number 122
_symmetry_space_group_name_Hall 'I -4 2bw'
loop_
_atom_site_label
_atom_site_fract_x
_atom_site_fract_y
_atom_site_fract_z
Ba1 0.071 0.250 0.125
Hg1 0.000 0.000 0.500
Ru1 0.000 0.000 0.000
```

Number 1: M_tot 3.993 μB/f.u.. Number 2: M_tot 0.000 μB/f.u.. Number 3: M_tot 0.000 μB/f.u..